The following is a DFT calculation (GGA+U) of an optimized crystal structure of CaPr3Fe4O12.

Results
symmetry: No. 6
DOS(E_F): 4.388 states/eV/f.u.
VASP energy: -7.252 eV/atom

Lattice parameters (Å, degrees): 7.842 5.507 5.614 89.98 90.00 90.00
Each line ends with the local moment (μB).
Atoms (fractional coordinates):
Ca: 0.000 0.489 0.454  0.01
Pr: 0.000 0.011 0.952  0.01
Pr: 0.500 0.512 0.547  0.01
Pr: 0.500 0.990 0.048  0.01
Fe: 0.246 0.500 0.002  4.27
Fe: 0.754 0.001 0.499  4.26
Fe: 0.754 0.500 0.002  4.27
Fe: 0.246 0.001 0.499  4.26
O: 0.211 0.204 0.204  0.14
O: 0.796 0.291 0.709  0.13
O: 0.706 0.790 0.790  0.13
O: 0.299 0.714 0.287  0.13
O: 0.294 0.790 0.790  0.13
O: 0.701 0.714 0.287  0.13
O: 0.789 0.204 0.204  0.14
O: 0.204 0.291 0.709  0.13
O: 0.000 0.583 0.030  0.15
O: 0.000 0.912 0.522  0.15
O: 0.500 0.421 0.979  0.12
O: 0.500 0.083 0.484  0.12